[1]
Na2SrCu2 after structural relaxation. Source: Alexandria, functional GGA-PBE.

Values from the calculation:
V   272.0 Å³ per cell
Energy above the most stable polymorph in this dataset   116 meV per atom
E_form   0.211 eV per atom

abc: 7.694 7.694 4.596
angles: 90.00 90.00 90.00
Fractional coordinates of all 10 atoms:
Sr (0.000, 0.000, 0.000)
Sr (0.500, 0.500, 0.000)
Cu (0.111, 0.389, 0.000)
Cu (0.389, 0.889, 0.000)
Cu (0.889, 0.611, 0.000)
Cu (0.611, 0.111, 0.000)
Na (0.344, 0.156, 0.500)
Na (0.656, 0.844, 0.500)
Na (0.844, 0.344, 0.500)
Na (0.156, 0.656, 0.500)



[2]
NaSr2Cu2 after structural relaxation. Source: Alexandria, functional GGA-PBE.

Values from the calculation:
V   299.7 Å³ per cell
Energy above the most stable polymorph in this dataset   200 meV per atom
E_form   0.142 eV per atom

abc: 8.906 8.906 3.778
angles: 90.00 90.00 90.00
Fractional coordinates of all 10 atoms:
Sr (0.667, 0.167, 0.000)
Sr (0.167, 0.333, 0.000)
Sr (0.333, 0.833, 0.000)
Sr (0.833, 0.667, 0.000)
Cu (0.893, 0.393, 0.500)
Cu (0.107, 0.607, 0.500)
Cu (0.607, 0.893, 0.500)
Cu (0.393, 0.107, 0.500)
Na (0.500, 0.500, 0.000)
Na (0.000, 0.000, 0.000)